Entry from the Alexandria database: Hf2ZnCu after structural relaxation (PBE).

Cell lengths 3.2034, 3.2034, 6.8293 Å; angles 90.00, 90.00, 90.00 degrees
With the nearest neighbours (Å) after each atom.
Space group P4/mmm (No. 123)
Symmetry-distinct sites (fractional):
Hf: 0.0000 0.0000 0.2441  4 Cu 2.81, 4 Zn 2.86
Zn: 0.5000 0.5000 0.5000  8 Hf 2.86, 4 Zn 3.20
Cu: 0.5000 0.5000 0.0000  8 Hf 2.81

Output
Total DFT energy (no corrections), eV/atom: -6.45
Crystal system: tetragonal
Formation energy from the elements, eV per atom: -0.13

***

Entry from the Alexandria database: Hf2ZnCu after structural relaxation (PBE).

Cell lengths 4.1361, 3.2670, 10.5502 Å; angles 90.00, 90.00, 90.00 degrees
With the nearest neighbours (Å) after each atom.
Space group Amm2 (No. 38)
Symmetry-distinct sites (fractional):
Hf: 0.0000 0.0000 0.0000  4 Cu 2.80, 3 Zn 2.85-2.92
Hf: 0.5000 0.0000 0.3221  4 Zn 2.81, 3 Cu 2.82-2.95
Zn: 0.0000 0.0000 0.7296  2 Cu 2.54, 4 Hf 2.81
Cu: 0.5000 0.0000 0.5896  2 Zn 2.54, 5 Hf 2.80-2.82

Output
Total DFT energy (no corrections), eV/atom: -6.45
Crystal system: orthorhombic
Formation energy from the elements, eV per atom: -0.13

***

Entry from the Alexandria database: HfZn3Cu after structural relaxation (PBE).

Cell lengths 5.1993, 5.1993, 5.1993 Å; angles 90.00, 90.00, 90.00 degrees
With the nearest neighbours (Å) after each atom.
Space group Pm-3m (No. 221)
Symmetry-distinct sites (fractional):
Hf: 0.0000 0.0000 0.0000  6 Zn 2.60
Zn: 0.0000 0.0000 0.5000  2 Hf 2.60
Cu: 0.5000 0.5000 0.5000  12 Zn 3.68

Output
Energy above the most stable polymorph in this dataset, meV/atom: 1389
Total DFT energy (no corrections), eV/atom: -2.31
Crystal system: cubic
Formation energy from the elements, eV per atom: 1.27

***

Entry from the Alexandria database: HfZnCu after structural relaxation (PBE).

Cell lengths 9.5425, 4.3553, 5.7871 Å; angles 90.00, 127.31, 90.00 degrees
With the nearest neighbours (Å) after each atom.
Space group C2/m (No. 12)
Symmetry-distinct sites (fractional):
Hf: 0.0006 0.0000 0.2533  2 Hf 2.86-2.92, 6 Cu 2.89-2.93, 6 Zn 2.89-2.92
Zn: 0.1683 0.5000 0.1674  2 Cu 2.52, 1 Zn 2.55
Cu: 0.1659 0.5000 0.6666  2 Zn 2.52, 1 Cu 2.52

Output
Total DFT energy (no corrections), eV/atom: -5.28
Crystal system: monoclinic
Formation energy from the elements, eV per atom: -0.17

***

It is found that the total magnetization values, taken in the order of the records, are 0.00 0.00 0.00 0.00 μB per atom.